1.
Density functional theory data (PBE) for crystalline Tm4TeH at its relaxed geometry.

Computed properties:
SG: Pmn2_1
Uncorrected energy, eV per cell: -53.825

a b c (Å): 5.9131 7.3287 7.4710
angles (deg): 90.00 90.00 90.00
Closest atoms and distances in Å follow each position.
Atoms (fractional coordinates):
Tm 0.3410 0.6440 0.0000  1 H 2.17
Tm 0.8172 0.3646 0.0000  1 H 2.21
Tm 0.3426 0.2545 0.7427  1 H 2.15
Tm 0.8426 0.7455 0.7573  1 H 2.15
Tm 0.3172 0.6354 0.5000  1 H 2.21
Tm 0.8410 0.3560 0.5000  1 H 2.17
Tm 0.8426 0.7455 0.2427  1 H 2.15
Tm 0.3426 0.2545 0.2573  1 H 2.15
Te 0.0856 0.0105 0.0000  6 Tm 3.02-3.08, 1 H 3.31
Te 0.5856 0.9895 0.5000  6 Tm 3.02-3.08, 1 H 3.31
H 0.4429 0.3589 0.0000  4 Tm 2.15-2.21
H 0.9429 0.6411 0.5000  4 Tm 2.15-2.21



2.
Density functional theory data (PBE) for crystalline PrNpGe at its relaxed geometry.

Computed properties:
SG: P4/nmm
ΔH_f (0 K), eV per atom: -0.35

a b c (Å): 4.1927 4.1927 8.6958
angles (deg): 90.00 90.00 90.00
Closest atoms and distances in Å follow each position.
Atoms (fractional coordinates):
Pr 0.0000 0.5000 0.8587  5 Ge 3.09-3.31
Pr 0.5000 0.0000 0.1413  5 Ge 3.09-3.31
Ge 0.0000 0.5000 0.2399  4 Np 3.08, 5 Pr 3.09-3.31
Ge 0.5000 0.0000 0.7601  4 Np 3.08, 5 Pr 3.09-3.31
Np 0.5000 0.5000 0.5000  4 Np 2.96, 4 Ge 3.08
Np 0.0000 0.0000 0.5000  4 Np 2.96, 4 Ge 3.08